No. 1
## TlPbSeN2 (GGA-PBE)

Data for crystalline TlPbSeN2 at its relaxed geometry.

Summary:
The calculation puts the density of states at the Fermi level at 1.7 states/eV/cell. Its total energy is -3.73 eV/atom. The value obtained for the total moment is 0.64 μB per atom. The calculation puts the energy relative to the elements, uncorrected at 1514 meV per atom. Its polymorph energy (0 for the lowest one) is 0.825 eV/f.u.

Lattice parameters (Å, degrees): 4.7479 4.7479 6.1475 90.00 90.00 90.00
Positions (direct):
N  0.5000  0.0000  0.0000
N  0.0000  0.5000  0.0000
Tl  0.0000  0.0000  0.0000
Pb  0.5000  0.5000  0.5000
Se  0.0000  0.0000  0.5000

No. 2
## TlPbSe2N (GGA-PBE)

Data for crystalline TlPbSe2N at its relaxed geometry.

Summary:
The calculation puts the density of states at the Fermi level at 1.7 states/eV/cell. Its total energy is -3.51 eV/atom. The value obtained for the total moment is 0.41 μB per atom. The calculation puts the energy relative to the elements, uncorrected at 766 meV per atom. Its polymorph energy (0 for the lowest one) is 0.250 eV/f.u.

Lattice parameters (Å, degrees): 5.5224 5.5224 4.4686 90.00 90.00 90.00
Positions (direct):
Pb  0.5000  0.5000  0.5000
N  0.0000  0.0000  0.5000
Se  0.5000  0.0000  0.0000
Se  0.0000  0.5000  0.0000
Tl  0.0000  0.0000  0.0000

Which of these has the lowest energy relative to the elements, uncorrected? TlPbSe2N

What is the formula in the second record? TlPbSe2N